Below is BeCS2N after structural relaxation, with properties calculated at the GGA-PBE level.

extended XYZ file:
```
5
Lattice="5.629 0.000 0.000 0.000 5.629 0.000 0.000 0.000 2.400" Properties=species:S:1:pos:R:3 pbc="T T T"
Be 2.814 2.814 1.200
S 0.000 2.814 0.000
S 2.814 0.000 0.000
C 0.000 0.000 0.000
N 0.000 0.000 1.200
```

Properties
ρ = 2.17 g/cm³
uncorrected energy = -24.7 eV per cell
polymorph energy (0 for the lowest one) = 0 meV/atom

=====

Below is BeCS2N after structural relaxation, with properties calculated at the GGA-PBE level.

extended XYZ file:
```
5
Lattice="4.410 0.000 0.000 0.000 4.410 0.000 0.000 0.000 3.104" Properties=species:S:1:pos:R:3 pbc="T T T"
Be 0.000 0.000 0.000
S 0.000 2.205 0.000
S 2.205 0.000 0.000
C 2.205 2.205 1.552
N 0.000 0.000 1.552
```

Properties
ρ = 2.73 g/cm³
uncorrected energy = -20.5 eV per cell
polymorph energy (0 for the lowest one) = 829 meV/atom

=====

Below is Be2SbCN after structural relaxation, with properties calculated at the GGA-PBE level.

extended XYZ file:
```
5
Lattice="4.674 0.000 0.000 0.000 4.154 0.000 0.000 0.000 4.674" Properties=species:S:1:pos:R:3 pbc="T T T"
Sb 0.000 0.000 0.000
C 2.337 2.077 2.337
Be 0.000 0.000 2.337
Be 2.337 0.000 0.000
N 0.000 2.077 0.000
```

Properties
ρ = 3.03 g/cm³
uncorrected energy = -16.0 eV per cell

=====

Below is BeCSe2N after structural relaxation, with properties calculated at the GGA-PBE level.

extended XYZ file:
```
5
Lattice="5.901 0.000 0.000 0.000 5.901 0.000 0.000 0.000 2.465" Properties=species:S:1:pos:R:3 pbc="T T T"
Be 2.950 2.950 1.232
C 0.000 0.000 0.000
Se 0.000 2.950 0.000
Se 2.950 0.000 0.000
N 0.000 0.000 1.232
```

Properties
ρ = 3.73 g/cm³
uncorrected energy = -23.9 eV per cell
polymorph energy (0 for the lowest one) = 0 meV/atom

=====

Below is BeCSe2N after structural relaxation, with properties calculated at the GGA-PBE level.

extended XYZ file:
```
5
Lattice="-4.090 -2.437 0.491 2.480 -3.931 1.143 -0.113 0.778 2.921" Properties=species:S:1:pos:R:3 pbc="T T T"
Be 0.000 0.000 0.000
C -0.862 -2.795 2.278
Se 1.240 -1.966 0.571
Se -2.045 -1.218 0.246
N -0.056 0.389 1.461
```

Properties
ρ = 4.62 g/cm³
uncorrected energy = -20.2 eV per cell
polymorph energy (0 for the lowest one) = 743 meV/atom

=====

Below is BeSiCN2 after structural relaxation, with properties calculated at the GGA-PBE level.

extended XYZ file:
```
5
Lattice="3.775 0.000 0.000 0.000 3.119 0.000 0.000 0.000 3.775" Properties=species:S:1:pos:R:3 pbc="T T T"
Be 0.000 1.560 0.000
Si 1.888 1.560 1.888
C 0.000 0.000 0.000
N 0.000 0.000 1.888
N 1.888 0.000 0.000
```

Properties
ρ = 2.88 g/cm³
uncorrected energy = -26.1 eV per cell

=====

Number 1: raw formation energy 0.97 eV per atom. Number 2: raw formation energy 1.80 eV per atom. Number 3: raw formation energy 2.63 eV per atom. Number 4: raw formation energy 0.86 eV per atom. Number 5: raw formation energy 1.60 eV per atom. Number 6: raw formation energy 1.78 eV per atom.